Computed, not measured: a geometry-optimized LiRuRh2 structure at the GGA-PBE level of DFT.

E_tot (eV/atom): -6.441
SG: C2/m, No. 12

a = 4.6036 Å, b = 4.6036 Å, c = 4.6952 Å
α = 82.79°, β = 82.79°, γ = 33.56°
With the nearest neighbours (Å) after each atom.
Positions (direct):
1 Li 0.2500 0.2500 0.2500  6 Rh 2.60-2.73, 2 Li 2.66, 4 Ru 2.70
2 Rh 0.0038 0.0038 0.9997  3 Li 2.60-2.73, 6 Rh 2.66-2.70, 3 Ru 2.66-2.68
3 Rh 0.4962 0.4962 0.5003  3 Li 2.60-2.73, 6 Rh 2.66-2.70, 3 Ru 2.66-2.68
4 Ru 0.7500 0.7500 0.7500  2 Ru 2.66, 6 Rh 2.66-2.68, 4 Li 2.70


Computed, not measured: a geometry-optimized Cs2Na2ThS4 structure at the GGA-PBE level of DFT.

SG: C2/m, No. 12
Raw formation energy (eV/atom): -1.442

a = 4.4082 Å, b = 8.2213 Å, c = 8.4414 Å
α = 109.86°, β = 105.14°, γ = 90.00°
With the nearest neighbours (Å) after each atom.
Positions (direct):
1 Cs 0.1382 0.5556 0.2764  7 S 3.56-3.95, 3 Na 3.95
2 Cs 0.8618 0.4444 0.7236  7 S 3.56-3.95, 3 Na 3.95
3 Na 0.6800 0.9757 0.3600  4 S 2.68-2.83
4 Na 0.3200 0.0243 0.6400  4 S 2.68-2.83
5 Th 0.0000 0.0000 0.0000  6 S 2.81-2.87
6 S 0.1834 0.1626 0.3667  3 Na 2.68-2.83, 1 Th 2.81
7 S 0.8166 0.8374 0.6333  3 Na 2.68-2.83, 1 Th 2.81
8 S 0.5078 0.7821 0.0156  1 Na 2.70, 2 Th 2.87
9 S 0.4922 0.2179 0.9844  1 Na 2.70, 2 Th 2.87


Computed, not measured: a geometry-optimized Tm4NiSn8 structure at the GGA-PBE level of DFT.

E_tot (eV/atom): -4.792
SG: Pmm2, No. 25

a = 4.3783 Å, b = 4.3882 Å, c = 16.7031 Å
α = 90.00°, β = 90.00°, γ = 90.00°
With the nearest neighbours (Å) after each atom.
Positions (direct):
1 Tm 0.0000 0.0000 0.0946  10 Sn 3.17-3.51
2 Tm 0.0000 0.5000 0.6050  10 Sn 3.13-3.32
3 Tm 0.5000 0.5000 0.3951  8 Sn 3.28-3.47, 4 Ni 3.40
4 Tm 0.5000 0.0000 0.8996  10 Sn 3.14-3.40
5 Ni 0.0000 0.0000 0.3116  5 Sn 2.46-2.54
6 Sn 0.0000 0.0000 0.4587  1 Ni 2.46
7 Sn 0.0000 0.5000 0.9307  2 Sn 3.02, 4 Tm 3.14
8 Sn 0.5000 0.5000 0.0550  2 Sn 3.02, 4 Tm 3.17
9 Sn 0.5000 0.0000 0.5774  2 Sn 2.95, 4 Tm 3.13
10 Sn 0.0000 0.5000 0.2352  2 Ni 2.54
11 Sn 0.0000 0.0000 0.7508  4 Sn 3.10, 4 Tm 3.28-3.31
12 Sn 0.5000 0.0000 0.2345  2 Ni 2.54
13 Sn 0.5000 0.5000 0.7547  4 Sn 3.10, 4 Tm 3.27-3.32


Computed, not measured: a geometry-optimized Th4HgAs2Se structure at the GGA-PBE level of DFT.

SG: P2/m, No. 10
Raw formation energy (eV/atom): -1.098

a = 4.2421 Å, b = 7.5217 Å, c = 7.4177 Å
α = 71.23°, β = 90.00°, γ = 90.00°
With the nearest neighbours (Å) after each atom.
Positions (direct):
1 Th 0.0000 0.7608 0.7499  3 As 2.97-3.00, 2 Se 3.07, 1 Hg 3.10
2 Th 0.0000 0.2392 0.2501  3 As 2.97-3.00, 2 Se 3.07, 1 Hg 3.10
3 Th 0.5000 0.7639 0.2405  3 As 2.97-3.01, 1 Se 3.07, 2 Hg 3.11
4 Th 0.5000 0.2362 0.7595  3 As 2.97-3.01, 1 Se 3.07, 2 Hg 3.11
5 Hg 0.0000 0.5000 0.5000  6 Th 3.10-3.11
6 As 0.0000 0.0000 0.0000  6 Th 2.97
7 As 0.5000 0.0000 0.5000  6 Th 3.00-3.01
8 Se 0.5000 0.5000 0.0000  6 Th 3.07


Computed, not measured: a geometry-optimized LiErCuAu structure at the GGA-PBE level of DFT.

E_tot (eV/atom): -3.873
SG: F-43m, No. 216

a = 4.7313 Å, b = 4.7313 Å, c = 4.7313 Å
α = 60.00°, β = 60.00°, γ = 60.00°
With the nearest neighbours (Å) after each atom.
Positions (direct):
1 Li 0.5000 0.5000 0.5000  4 Cu 2.90, 4 Au 2.90
2 Au 0.7500 0.7500 0.7500  4 Li 2.90, 4 Er 2.90
3 Cu 0.2500 0.2500 0.2500  4 Er 2.90, 4 Li 2.90
4 Er 0.0000 0.0000 0.0000  4 Au 2.90, 4 Cu 2.90


Computed, not measured: a geometry-optimized Ba3DyTc2O9 structure at the GGA-PBE level of DFT.

SG: P-3m1, No. 164
Raw formation energy (eV/atom): -2.405

a = 5.8775 Å, b = 5.8775 Å, c = 7.2050 Å
α = 90.00°, β = 90.00°, γ = 120.00°
With the nearest neighbours (Å) after each atom.
Positions (direct):
1 Ba 0.3333 0.6667 0.6635  12 O 2.94-2.96
2 Ba 0.0000 0.0000 0.0000  12 O 2.91-2.94
3 Ba 0.6667 0.3333 0.3365  12 O 2.94-2.96
4 Dy 0.0000 0.0000 0.5000  6 O 2.23
5 Tc 0.3333 0.6667 0.1509  6 O 1.99-2.02
6 Tc 0.6667 0.3333 0.8491  6 O 1.99-2.02
7 O 0.8233 0.1767 0.6833  1 Tc 1.99, 1 Dy 2.23
8 O 0.8233 0.6466 0.6833  1 Tc 1.99, 1 Dy 2.23
9 O 0.3534 0.1767 0.6833  1 Tc 1.99, 1 Dy 2.23
10 O 0.6466 0.8233 0.3167  1 Tc 1.99, 1 Dy 2.23
11 O 0.1767 0.3534 0.3167  1 Tc 1.99, 1 Dy 2.23
12 O 0.1767 0.8233 0.3167  1 Tc 1.99, 1 Dy 2.23
13 O 0.5000 0.0000 0.0000  2 Tc 2.02
14 O 0.0000 0.5000 0.0000  2 Tc 2.02
15 O 0.5000 0.5000 0.0000  2 Tc 2.02


| no. | DOS at the Fermi energy (states/eV/atom) |
| --- | --- |
| 1 | 1.08 |
| 2 | 0.00 |
| 3 | 0.42 |
| 4 | 0.66 |
| 5 | 0.63 |
| 6 | 0.48 |